[1]
# SCAN ZrTa2Pb, PBEsol geometry
# - DOS(E_F): 3.06 states/eV/f.u.
# - Calculated density: 13.82 g/cm3
# - Formation enthalpy at 0 K: 10 kJ/mol of atoms
data_ZrTa2Pb
_chemical_formula_sum 'Zr2 Ta4 Pb2'
_cell_length_a 3.626
_cell_length_b 4.664
_cell_length_c 9.380
_cell_angle_alpha 90.00
_cell_angle_beta 90.00
_cell_angle_gamma 90.00
_symmetry_space_group_name_H-M 'I m m m'
_symmetry_Int_Tables_number 71
_symmetry_space_group_name_Hall '-I 2 2'
loop_
_atom_site_label
_atom_site_fract_x
_atom_site_fract_y
_atom_site_fract_z
Zr1 0.000 0.000 0.000
Ta1 0.000 0.500 0.255
Pb1 0.000 0.000 0.500

[2]
# SCAN TbPb3, PBEsol geometry
# - DOS(E_F): 2.52 states/eV/f.u.
# - Calculated density: 11.81 g/cm3
# - Formation enthalpy at 0 K: -41 kJ/mol of atoms
data_TbPb3
_chemical_formula_sum 'Tb1 Pb3'
_cell_length_a 4.788
_cell_length_b 4.788
_cell_length_c 4.788
_cell_angle_alpha 90.00
_cell_angle_beta 90.00
_cell_angle_gamma 90.00
_symmetry_space_group_name_H-M 'P m -3 m'
_symmetry_Int_Tables_number 221
_symmetry_space_group_name_Hall '-P 4 2 3'
loop_
_atom_site_label
_atom_site_fract_x
_atom_site_fract_y
_atom_site_fract_z
Tb1 0.000 0.000 0.000
Pb1 0.000 0.500 0.500